Computed, not measured: LaHgOs after structural relaxation at the GGA-PBE level of DFT.

- V (Å³ per atom) = 24.927
- formation enthalpy at 0 K (eV/atom) = 0.49
- total magnetization (μB per formula unit) = 0.0
- crystal system = trigonal
- DOS at the Fermi energy (states/eV/atom) = 0.3033

a = 3.6203 Å, b = 3.6203 Å, c = 6.5884 Å
α = 90.00°, β = 90.00°, γ = 120.00°
Space group P3m1 (No. 156)
One atom of each set of equivalent atoms:
La (0.0000, 0.0000, 0.0000)
Hg (0.3333, 0.6667, 0.5907)
Os (0.6667, 0.3333, 0.2943)